A plane-wave DFT calculation with PBE-GGA was carried out for crystalline TbSm2Ru2 at its relaxed geometry.

M_tot ... 0.00 μB per cell
Density of states at the Fermi level ... 3.993 states/eV/cell
Energy relative to the lowest polymorph listed for this composition ... 0.000 eV/atom
Space-group type ... Immm (71)
Electronic total energy ... -0.4964 Ry/atom
Formation energy from the elements ... -230 meV per atom

Lattice parameters (Å, degrees): 5.8358 5.8358 5.8358 136.26 115.98 80.76
With the nearest neighbours (Å) after each atom.
Element x y z (fractional)
Tb: 0.0000 0.0000 0.0000  4 Ru 2.79
Sm: 0.3017 0.8017 0.5000  6 Ru 3.10-3.20, 2 Tb 3.45
Sm: 0.6983 0.1983 0.5000  6 Ru 3.10-3.20, 2 Tb 3.45
Ru: 0.2834 0.5000 0.7834  1 Ru 2.68, 2 Tb 2.79
Ru: 0.7166 0.5000 0.2166  1 Ru 2.68, 2 Tb 2.79

***

A plane-wave DFT calculation with PBE-GGA was carried out for crystalline TbSm2Ru2 at its relaxed geometry.

M_tot ... 0.00 μB per cell
Density of states at the Fermi level ... 5.722 states/eV/cell
Energy relative to the lowest polymorph listed for this composition ... 0.028 eV/atom
Space-group type ... Cmc2_1 (36)
Electronic total energy ... -0.4944 Ry/atom
Formation energy from the elements ... -202 meV per atom

Lattice parameters (Å, degrees): 6.1233 6.1233 9.9891 90.00 90.00 139.16
With the nearest neighbours (Å) after each atom.
Element x y z (fractional)
Tb: 0.1459 0.8541 0.5000  4 Ru 2.77-2.85
Tb: 0.8541 0.1459 0.0000  4 Ru 2.77-2.85
Sm: 0.1465 0.8535 0.8705  4 Ru 2.81-2.89
Sm: 0.4057 0.5943 0.6851  2 Ru 2.72
Sm: 0.5943 0.4057 0.1851  2 Ru 2.72
Sm: 0.8535 0.1465 0.3705  4 Ru 2.81-2.89
Ru: 0.3110 0.6890 0.1819  2 Tb 2.85, 2 Sm 2.89
Ru: 0.4977 0.5023 0.9365  4 Sm 2.72-2.81, 2 Tb 2.77
Ru: 0.5023 0.4977 0.4365  4 Sm 2.72-2.81, 2 Tb 2.77
Ru: 0.6890 0.3110 0.6819  2 Tb 2.85, 2 Sm 2.89

***

Q: Among the records above, which one has the lowest electronic total energy?
A: number 1

***

Q: Number 1 is which compound?
A: TbSm2Ru2

***

Q: M_tot of number 2 (TbSm2Ru2)?
A: 0.00 μB per cell

***

Q: Which of these has the lowest formation energy from the elements?
A: number 1